1.
A relaxed structure of CrGa2H2, computed with GGA-PBE.

a b c (Å): 5.283 5.283 3.979
angles (deg): 90.00 90.00 90.00
Space group P4/mbm (No. 127)
Symmetry-distinct sites (fractional):
Cr (0.000, 0.000, 0.000) (multiplicity 2)
Ga (0.196, 0.304, 0.500) (multiplicity 4)
H (0.211, 0.289, 0.000) (multiplicity 4)

Summary:
Mass density in kg/m³: 5785
E above lowest polymorph in meV per atom: 0.0

***

2.
A relaxed structure of Zr2InFe, computed with GGA-PBE.

a b c (Å): 3.300 4.777 9.984
angles (deg): 90.00 90.00 90.00
Space group Imm2 (No. 44)
Symmetry-distinct sites (fractional):
Zr (0.000, 0.000, 0.000) (multiplicity 2)
Zr (0.000, 0.500, 0.212) (multiplicity 2)
In (0.000, 0.500, 0.789) (multiplicity 2)
Fe (0.000, 0.000, 0.508) (multiplicity 2)

Summary:
Mass density in kg/m³: 7451
Energy relative to the elements in eV/f.u.: -0.359

***

3.
A relaxed structure of RbLa2N, computed with GGA-PBE.

a b c (Å): 3.7716 3.7716 33.7202
angles (deg): 90.00 90.00 120.00
Space group R-3m (No. 166, hexagonal axes)
Symmetry-distinct sites (fractional):
Rb (0.0000, 0.0000, 0.0000) (multiplicity 3)
La (0.0000, 0.0000, 0.1258) (multiplicity 6)
N (0.0000, 0.0000, 0.5000) (multiplicity 3)

Summary:
Mass density in kg/m³: 4524
Energy relative to the elements, uncorrected in eV per atom: -0.492

***

4.
A relaxed structure of Nd4ErTe7, computed with GGA-PBE.

a b c (Å): 14.635 4.342 13.415
angles (deg): 90.00 104.60 90.00
Space group Cm (No. 8)
Symmetry-distinct sites (fractional):
Nd (0.000, 0.000, 0.000) (multiplicity 2)
Nd (0.086, 0.500, 0.382) (multiplicity 2)
Nd (0.186, 0.000, 0.765) (multiplicity 2)
Nd (0.386, 0.500, 0.570) (multiplicity 2)
Er (0.271, 0.500, 0.149) (multiplicity 2)
Te (0.048, 0.500, 0.622) (multiplicity 2)
Te (0.131, 0.500, 0.929) (multiplicity 2)
Te (0.152, 0.000, 0.223) (multiplicity 2)
Te (0.223, 0.000, 0.524) (multiplicity 2)
Te (0.350, 0.500, 0.789) (multiplicity 2)
Te (0.381, 0.000, 0.077) (multiplicity 2)
Te (0.421, 0.500, 0.351) (multiplicity 2)

Summary:
Mass density in kg/m³: 6593
Energy relative to the elements, uncorrected in eV per atom: -1.421